The following is a DFT calculation (PBE) of a relaxed structure of ScAu5.

Computed properties:
- total magnetic moment (μB per cell) = 0.00
- symmetry = P2_1/m, No. 11
- formation enthalpy at 0 K (eV per atom) = -0.3878
- V (Å³/cell) = 221

a b c (Å): 4.1312 9.0802 5.8814
angles (deg): 90.00 90.45 90.00
With the nearest neighbours (Å) after each atom.
Positions (direct):
Sc  0.2477  0.2500  0.3888  12 Au 2.91-3.04
Sc  0.7523  0.7500  0.6112  12 Au 2.91-3.04
Au  0.2463  0.2500  0.8899  10 Au 2.91-3.06, 2 Sc 2.93-2.95
Au  0.2514  0.5852  0.3719  3 Sc 2.91-3.04, 9 Au 2.91-3.00
Au  0.2514  0.9148  0.3719  3 Sc 2.91-3.04, 9 Au 2.91-3.00
Au  0.2516  0.5871  0.8665  10 Au 2.91-3.06, 2 Sc 2.94-2.96
Au  0.2516  0.9129  0.8665  10 Au 2.91-3.06, 2 Sc 2.94-2.96
Au  0.7484  0.0871  0.1335  10 Au 2.91-3.06, 2 Sc 2.94-2.96
Au  0.7484  0.4129  0.1335  10 Au 2.91-3.06, 2 Sc 2.94-2.96
Au  0.7486  0.0852  0.6281  3 Sc 2.91-3.04, 9 Au 2.91-3.00
Au  0.7486  0.4148  0.6281  3 Sc 2.91-3.04, 9 Au 2.91-3.00
Au  0.7537  0.7500  0.1101  10 Au 2.91-3.06, 2 Sc 2.93-2.95